(1)
CoP3 (GGA-PBEsol, relaxed); SG = No. 123; density = 5.1 Mg/m³; total moment = 0.00 μB per formula unit; E above lowest polymorph = 770.4 meV per atom
1.0
2.854 0.000 0.000
0.000 2.854 0.000
0.000 0.000 6.032
P Co
3 1
Direct
0.500 0.500 0.784
0.000 0.000 0.500
0.500 0.500 0.216
0.000 0.000 0.000

=====

(2)
CoP3 (GGA-PBEsol, relaxed); SG = No. 187; density = 4.9 Mg/m³; total moment = 0.00 μB per formula unit; E above lowest polymorph = 806.6 meV per atom
1.0
-0.109 0.210 2.660
-2.244 -0.352 -1.405
0.857 -8.186 0.681
P Co
3 1
Direct
0.333 0.667 0.793
0.333 0.667 0.207
0.000 0.000 0.500
0.000 0.000 0.000

=====

(3)
CoP3 (GGA-PBEsol, relaxed); SG = No. 204; density = 4.5 Mg/m³; total moment = 0.00 μB per formula unit; E above lowest polymorph = 0.0 meV per atom
1.0
6.614 0.000 0.000
-2.205 6.236 0.000
-2.205 -3.118 5.401
Co P
4 12
Direct
0.000 0.500 0.000
0.500 0.500 0.500
0.500 0.000 0.000
0.000 0.000 0.500
0.147 0.494 0.347
0.653 0.147 0.800
0.653 0.853 0.506
0.200 0.347 0.853
0.800 0.653 0.147
0.853 0.506 0.653
0.347 0.147 0.494
0.853 0.200 0.347
0.506 0.653 0.853
0.494 0.347 0.147
0.347 0.853 0.200
0.147 0.800 0.653

=====

(4)
Co4P (GGA-PBEsol, relaxed); SG = No. 87; density = 8.8 Mg/m³; total moment = 3.93 μB per formula unit; E above lowest polymorph = 0.0 meV per atom
1.0
3.510 0.000 0.000
1.755 3.780 0.000
1.755 0.000 3.780
Co P
4 1
Direct
0.393 0.802 0.413
0.195 0.413 0.198
0.805 0.587 0.802
0.607 0.198 0.587
0.000 0.000 0.000

=====

(5)
Co3P4 (GGA-PBEsol, relaxed); SG = No. 191; density = 6.0 Mg/m³; total moment = 0.00 μB per formula unit
1.0
-2.995 -2.731 0.312
0.980 -1.587 -4.481
2.223 -2.000 3.823
P Co
4 3
Direct
0.500 0.667 0.333
0.248 0.000 0.000
0.500 0.333 0.667
0.752 0.000 0.000
0.000 0.000 0.500
0.000 0.500 0.000
0.000 0.500 0.500

=====

(6)
Co4P (GGA-PBEsol, relaxed); SG = No. 229; density = 7.1 Mg/m³; total moment = 5.20 μB per formula unit; E above lowest polymorph = 474.5 meV per atom
1.0
-4.281 -0.439 -0.375
1.967 -2.587 -2.846
1.213 -1.078 4.004
Co P
4 1
Direct
0.500 0.000 0.000
0.000 0.000 0.500
0.000 0.500 0.000
0.500 0.500 0.500
0.000 0.000 0.000

=====

(7)
CoP2Pb (GGA-PBEsol, relaxed); SG = No. 123; density = 8.1 Mg/m³; total moment = 1.14 μB per formula unit
1.0
-0.404 0.338 3.291
4.033 -1.883 0.688
1.929 4.066 -0.181
Co P Pb
1 2 1
Direct
0.500 0.000 0.000
0.000 0.500 0.000
0.000 0.000 0.500
0.500 0.500 0.500

=====

(8)
Co2PPb (GGA-PBEsol, relaxed); SG = No. 166; density = 9.8 Mg/m³; total moment = 0.00 μB per formula unit
1.0
3.500 0.000 0.000
1.750 3.032 0.000
1.750 1.011 5.706
Pb Co P
1 2 1
Direct
0.500 0.500 0.500
0.288 0.288 0.136
0.712 0.712 0.864
0.000 0.000 0.000

=====

(9)
CoP2Pb (GGA-PBEsol, relaxed); SG = No. 47; density = 8.3 Mg/m³; total moment = 0.75 μB per formula unit
1.0
3.413 0.000 0.000
0.000 3.959 0.000
0.000 0.000 4.843
Co P Pb
1 2 1
Direct
0.000 0.500 0.500
0.000 0.000 0.000
0.500 0.500 0.000
0.500 0.000 0.500

=====

(10)
CoP2Pb (GGA-PBEsol, relaxed); SG = No. 12; density = 7.9 Mg/m³; total moment = 0.85 μB per formula unit
1.0
-1.663 -1.790 3.574
-1.536 -2.298 -3.505
4.441 -0.390 0.231
P Co Pb
2 1 1
Direct
0.000 0.500 0.000
0.000 0.000 0.500
0.500 0.500 0.500
0.500 0.000 0.000

=====

(11)
CoPPb2 (GGA-PBEsol, relaxed); SG = No. 8; density = 9.5 Mg/m³; total moment = 0.00 μB per formula unit
1.0
-3.318 0.491 -0.526
-2.445 -3.827 0.891
-2.589 0.557 5.892
P Pb Co
1 2 1
Direct
0.848 0.599 0.705
0.188 0.284 0.340
0.052 0.943 0.953
0.412 0.675 0.502

=====

(12)
CoP2Pb (GGA-PBEsol, relaxed); SG = No. 99; density = 8.3 Mg/m³; total moment = 0.00 μB per formula unit
1.0
-1.450 -1.015 2.465
1.234 -2.743 -0.404
5.572 1.908 4.064
Co Pb P
1 1 2
Direct
0.500 0.500 0.840
0.000 0.000 0.541
0.500 0.500 0.154
0.000 0.000 0.965

=====

| no. | energy of formation from the pure elements (eV per atom) |
| --- | --- |
| 1 | 0.181 |
| 2 | 0.217 |
| 3 | -0.589 |
| 4 | -0.186 |
| 5 | 0.300 |
| 6 | 0.289 |
| 7 | 0.786 |
| 8 | -0.178 |
| 9 | 0.681 |
| 10 | 0.565 |
| 11 | 0.123 |
| 12 | 0.103 |